No. 1
Tb3DyO PBE optimized geometry; SG = Pm-3m, No. 221; raw formation energy = -1.106 eV/atom; size of the total moment = 0.0 μB/cell; density of states at the Fermi level = 5.0 states/eV per cell; uncorrected energy = -5.7959 eV/atom
1.0
-2.9567 -3.1905 2.3694
3.9713 -2.2620 1.9098
-0.1481 3.0396 3.9082
Tb Dy O
3 1 1
Direct
0.5000 0.0000 0.0000
0.0000 0.5000 0.0000
0.0000 0.0000 0.5000
0.5000 0.5000 0.5000
0.0000 0.0000 0.0000


No. 2
BaLi2AcP2 PBE optimized geometry; SG = P-3m1, No. 164; ΔH_f (0 K) = -535.6 kJ/mol of formula units; size of the total moment = 0.5 μB/cell; density of states at the Fermi level = 3.5 states/eV per cell; uncorrected energy = -4.3716 eV/atom
1.0
4.3815 0.0000 0.0000
-2.1908 3.7945 0.0000
0.0000 0.0000 8.8027
Ba Li P Ac
1 2 2 1
Direct
0.0000 0.0000 0.0000
0.6667 0.3333 0.2560
0.3333 0.6667 0.7440
0.3333 0.6667 0.2705
0.6667 0.3333 0.7295
0.0000 0.0000 0.5000


No. 3
SrMnAu2 PBE optimized geometry; SG = I-4m2, No. 119; ΔH_f (0 K) = -33.8 kJ/mol of formula units; size of the total moment = 4.3 μB/cell; density of states at the Fermi level = 2.9 states/eV per cell; uncorrected energy = -4.4391 eV/atom
1.0
5.5408 -0.0152 0.0000
2.1232 5.1179 0.0000
-3.8320 -2.5513 3.0834
Au Sr Mn
2 1 1
Direct
0.0000 0.0000 0.0000
0.2500 0.7500 0.5000
0.7500 0.2500 0.5000
0.5000 0.5000 0.0000


No. 4
TaCrC2 PBE optimized geometry; SG = Fm-3m, No. 225; ΔH_f (0 K) = 203.1 kJ/mol of formula units; size of the total moment = 0.0 μB/cell; density of states at the Fermi level = 2.4 states/eV per cell; uncorrected energy = -9.4546 eV/atom; polymorph energy (0 for the lowest one) = 640.3 meV per atom
1.0
0.0000 2.6722 2.6722
2.6722 0.0000 2.6722
2.6722 2.6722 0.0000
C Cr Ta
2 1 1
Direct
0.2500 0.2500 0.2500
0.7500 0.7500 0.7500
0.0000 0.0000 0.0000
0.5000 0.5000 0.5000


No. 5
Mn2AgBiP PBE optimized geometry; SG = P4/mmm, No. 123; ΔH_f (0 K) = 627.2 kJ/mol of formula units; size of the total moment = 8.7 μB/cell; density of states at the Fermi level = 5.4 states/eV per cell; uncorrected energy = -4.7961 eV/atom; polymorph energy (0 for the lowest one) = 120.0 meV per atom
1.0
5.2251 0.0000 0.0000
0.0000 5.2387 0.0000
0.0000 0.0000 5.2251
Ag P Mn Bi
1 1 2 1
Direct
0.0000 0.5000 0.0000
0.5000 0.5000 0.5000
0.5000 0.0000 0.0000
0.0000 0.0000 0.5000
0.0000 0.0000 0.0000


No. 6
PmHo5Er4 PBE optimized geometry; SG = I4, No. 79; ΔH_f (0 K) = 297.3 kJ/mol of formula units; size of the total moment = 0.0 μB/cell; density of states at the Fermi level = 13.8 states/eV per cell; uncorrected energy = -4.2809 eV/atom
1.0
6.2791 0.0000 0.0000
3.1395 7.1538 0.0000
3.1395 0.0000 7.1538
Ho Er Pm
5 4 1
Direct
0.6786 0.0000 0.0000
0.0937 0.6221 0.0899
0.8057 0.3779 0.9101
0.1836 0.9101 0.6221
0.7158 0.0899 0.3779
0.4023 0.3987 0.7017
0.8010 0.7017 0.6013
0.5027 0.6013 0.2983
0.1040 0.2983 0.3987
0.2229 0.0000 0.0000